[1]
6
Lattice="3.811 0.000 0.000 0.000 3.811 0.000 0.000 0.000 9.895" Properties=species:S:1:pos:R:3 comment="SmLuSi, optimized geometry, DFT PBE" space_group="No. 107" e_above_lowest_polymorph_mev_per_atom=160.7 pbc="T T T"
Sm 0.000 0.000 0.000
Sm 1.906 1.906 4.948
Lu 0.000 0.000 6.984
Lu 1.906 1.906 2.036
Si 0.000 0.000 3.299
Si 1.906 1.906 8.246


[2]
12
Lattice="6.850 0.000 0.000 0.000 6.850 0.000 0.000 0.000 6.850" Properties=species:S:1:pos:R:3 comment="SmLuSi, optimized geometry, DFT PBE" space_group="No. 216" e_above_lowest_polymorph_mev_per_atom=0.0 pbc="T T T"
Sm 0.000 0.000 0.000
Sm 0.000 3.425 3.425
Sm 3.425 0.000 3.425
Sm 3.425 3.425 0.000
Lu 0.000 0.000 3.425
Lu 0.000 3.425 0.000
Lu 3.425 0.000 0.000
Lu 3.425 3.425 3.425
Si 1.713 1.713 5.138
Si 1.713 5.138 1.713
Si 5.138 1.713 1.713
Si 5.138 5.138 5.138


[3]
4
Lattice="4.650 0.000 0.000 0.000 4.650 0.000 0.000 0.000 4.702" Properties=species:S:1:pos:R:3 comment="Sm2LuSi, optimized geometry, DFT PBE" space_group="No. 123" pbc="T T T"
Sm 0.000 2.325 0.000
Sm 2.325 0.000 0.000
Lu 0.000 0.000 2.351
Si 2.325 2.325 2.351


[4]
3
Lattice="4.650 0.000 0.000 -2.325 4.027 0.000 0.000 0.000 4.177" Properties=species:S:1:pos:R:3 comment="SmLuSi, optimized geometry, DFT PBE" space_group="No. 156" e_above_lowest_polymorph_mev_per_atom=116.2 pbc="T T T"
Sm 0.000 0.000 0.000
Lu 2.325 1.342 1.998
Si 0.000 2.685 2.573


[5]
12
Lattice="6.782 0.000 0.000 0.000 6.782 0.000 0.000 0.000 6.782" Properties=species:S:1:pos:R:3 comment="TbLuSi, optimized geometry, DFT PBE" space_group="No. 216" pbc="T T T"
Tb 0.000 0.000 0.000
Tb 0.000 3.391 3.391
Tb 3.391 0.000 3.391
Tb 3.391 3.391 0.000
Lu 0.000 0.000 3.391
Lu 0.000 3.391 0.000
Lu 3.391 0.000 0.000
Lu 3.391 3.391 3.391
Si 1.695 1.695 5.086
Si 1.695 5.086 1.695
Si 5.086 1.695 1.695
Si 5.086 5.086 5.086


[6]
12
Lattice="4.536 0.000 0.000 -2.268 3.929 0.000 0.000 0.000 15.134" Properties=species:S:1:pos:R:3 comment="TbLuSi2, optimized geometry, DFT PBE" space_group="No. 166" pbc="T T T"
Tb 0.000 0.000 0.000
Tb 0.000 2.619 10.089
Tb 2.268 1.310 5.045
Lu 0.000 0.000 7.567
Lu 0.000 2.619 2.522
Lu 2.268 1.310 12.612
Si 0.000 0.000 3.697
Si 0.000 0.000 11.437
Si 0.000 2.619 6.393
Si 0.000 2.619 13.786
Si 2.268 1.310 1.348
Si 2.268 1.310 8.741


Result set for energy relative to the elements, uncorrected: -0.28, -0.44, -0.24, -0.32, -0.45, -0.51 eV/atom, one per record in the order listed.
Result set for electronic total energy: -30.98, -63.89, -20.35, -15.62, -63.67, -66.12 eV per cell, one per record in the order listed.